(1)
Na12Tl6Pb | the Alexandria database | PBE | relaxed; formation enthalpy at 0 K = -1.660 eV per formula unit; SG = No. 148; crystal system = trigonal
1.0
8.309 0.625 0.748
-0.642 8.308 0.748
-0.642 -0.748 8.308
Na Tl Pb
12 6 1
Direct
0.573 0.192 0.471 Na
0.855 0.627 0.968 Na
0.192 0.471 0.573 Na
0.627 0.968 0.855 Na
0.032 0.145 0.373 Na
0.471 0.573 0.192 Na
0.529 0.427 0.808 Na
0.968 0.855 0.627 Na
0.808 0.529 0.427 Na
0.427 0.808 0.529 Na
0.373 0.032 0.145 Na
0.145 0.373 0.032 Na
0.731 0.275 0.117 Tl
0.275 0.117 0.731 Tl
0.725 0.883 0.269 Tl
0.117 0.731 0.275 Tl
0.883 0.269 0.725 Tl
0.269 0.725 0.883 Tl
0.000 0.000 0.000 Pb

(2)
InHg2Cl | the Alexandria database | PBE | relaxed; SG = No. 6; crystal system = monoclinic; formation energy without anion corrections = -8.552 kcal/mol of atoms; offset from the most stable computed form = 0.0241 eV per atom
1.0
-3.508 -0.968 -1.880
2.400 -1.159 -3.882
1.662 -6.572 0.283
Hg Cl In
2 1 1
Direct
0.500 0.436 0.184 Hg
0.000 0.992 0.067 Hg
0.500 0.730 0.660 Cl
0.000 0.342 0.588 In

(3)
Tm12Ni5Hg | the Alexandria database | PBE | relaxed; formation enthalpy at 0 K = -6.526 eV per formula unit; SG = No. 71; crystal system = orthorhombic
1.0
7.617 0.007 -2.923
-3.958 6.723 -2.386
-0.020 -0.007 8.159
Ni Tm Hg
5 12 1
Direct
0.500 0.878 0.378 Ni
0.000 0.000 0.000 Ni
0.500 0.122 0.622 Ni
0.645 0.645 0.000 Ni
0.355 0.355 0.000 Ni
0.305 0.676 0.981 Tm
0.695 0.324 0.019 Tm
0.695 0.676 0.371 Tm
0.811 0.035 0.225 Tm
0.897 0.180 0.717 Tm
0.103 0.820 0.283 Tm
0.464 0.180 0.283 Tm
0.811 0.586 0.775 Tm
0.189 0.965 0.775 Tm
0.536 0.820 0.717 Tm
0.189 0.414 0.225 Tm
0.305 0.324 0.629 Tm
0.000 0.500 0.500 Hg

(4)
CdIn2Rh | the Alexandria database | PBE | relaxed; formation enthalpy at 0 K = 0.324 eV per formula unit; SG = No. 216; crystal system = cubic
1.0
3.006 -3.312 -1.873
-1.755 -4.208 -1.653
-0.050 -0.902 -4.764
In Cd Rh
2 1 1
Direct
0.000 0.000 0.000 In
0.250 0.250 0.250 In
0.500 0.500 0.500 Cd
0.750 0.750 0.750 Rh

(5)
ZnCu2Hg | the Alexandria database | PBE | relaxed; formation enthalpy at 0 K = 0.407 eV per formula unit; SG = No. 8; crystal system = monoclinic
1.0
0.019 -1.448 4.776
0.992 -3.775 3.109
4.130 0.527 1.676
Zn Cu Hg
1 2 1
Direct
0.265 0.265 0.206 Zn
0.009 0.009 0.020 Cu
0.734 0.734 0.744 Cu
0.492 0.492 0.530 Hg

(6)
Tb6BS12 | the Alexandria database | PBE | relaxed; SG = No. 148; crystal system = trigonal; formation energy without anion corrections = -31.874 kcal/mol of atoms
1.0
7.644 -0.019 -0.022
-1.177 7.553 -0.022
-1.177 -1.372 7.428
S Tb B
12 6 1
Direct
0.024 0.709 0.947 S
0.709 0.947 0.024 S
0.443 0.579 0.180 S
0.180 0.443 0.579 S
0.579 0.180 0.443 S
0.820 0.557 0.421 S
0.421 0.820 0.557 S
0.557 0.421 0.820 S
0.947 0.024 0.709 S
0.291 0.053 0.976 S
0.976 0.291 0.053 S
0.053 0.976 0.291 S
0.628 0.288 0.131 Tb
0.372 0.712 0.869 Tb
0.288 0.131 0.628 Tb
0.869 0.372 0.712 Tb
0.131 0.628 0.288 Tb
0.712 0.869 0.372 Tb
0.000 0.000 0.000 B

(7)
SrTlBiPd3 | the Alexandria database | PBE | relaxed; formation enthalpy at 0 K = -1.853 eV per formula unit; SG = No. 63; crystal system = orthorhombic
1.0
-0.038 -0.952 6.447
4.686 -5.074 -0.722
2.440 6.859 1.027
Tl Pd Sr Bi
2 6 2 2
Direct
0.250 0.934 0.869 Tl
0.750 0.066 0.131 Tl
0.000 0.293 0.000 Pd
0.500 0.293 0.000 Pd
0.500 0.707 0.000 Pd
0.000 0.707 0.000 Pd
0.750 0.849 0.699 Pd
0.250 0.151 0.301 Pd
0.250 0.684 0.368 Sr
0.750 0.316 0.632 Sr
0.750 0.637 0.274 Bi
0.250 0.363 0.726 Bi

(8)
DyBiS2 | the Alexandria database | PBE | relaxed; SG = No. 166; crystal system = trigonal; formation energy without anion corrections = -29.328 kcal/mol of atoms
1.0
-0.451 -0.035 -3.881
3.013 -0.925 -2.308
-1.434 -8.620 -1.722
Bi S Dy
1 2 1
Direct
0.000 0.000 0.000 Bi
0.892 0.892 0.324 S
0.108 0.108 0.676 S
0.500 0.500 0.500 Dy

(9)
ErSbSe | the Alexandria database | PBE | relaxed; SG = No. 139; crystal system = tetragonal; formation energy without anion corrections = -28.835 kcal/mol of atoms
1.0
-2.452 -0.491 -3.286
-2.228 -2.787 2.079
-2.967 8.115 3.595
Se Sb Er
2 2 2
Direct
0.188 0.188 0.376 Se
0.812 0.812 0.624 Se
0.500 0.000 0.000 Sb
0.000 0.500 0.000 Sb
0.650 0.650 0.299 Er
0.350 0.350 0.701 Er

(10)
ZrSc2Zn5 | the Alexandria database | PBE | relaxed; formation enthalpy at 0 K = -2.293 eV per formula unit; SG = No. 139; crystal system = tetragonal
1.0
-0.427 -3.846 2.389
4.525 -0.278 0.362
-2.288 5.662 4.378
Zn Zr Sc
5 1 2
Direct
0.120 0.620 0.240 Zn
0.880 0.380 0.760 Zn
0.620 0.120 0.240 Zn
0.380 0.880 0.760 Zn
0.500 0.500 0.000 Zn
0.000 0.000 0.000 Zr
0.741 0.741 0.481 Sc
0.259 0.259 0.519 Sc

(11)
Ce7In2Pb2 | the Alexandria database | PBE | relaxed; formation enthalpy at 0 K = -0.588 eV per formula unit; SG = No. 65; crystal system = orthorhombic
1.0
-2.358 -5.526 -3.923
5.197 1.271 -4.920
4.902 -2.716 4.481
Ce Pb In
7 2 2
Direct
0.000 0.000 0.000 Ce
0.000 0.316 0.500 Ce
0.500 0.316 0.000 Ce
0.500 0.684 0.000 Ce
0.000 0.684 0.500 Ce
0.500 0.312 0.500 Ce
0.500 0.688 0.500 Ce
0.707 0.000 0.293 Pb
0.293 0.000 0.707 Pb
0.841 0.500 0.841 In
0.159 0.500 0.159 In

(12)
ScSiMoPt2 | the Alexandria database | PBE | relaxed; SG = No. 123; crystal system = tetragonal; formation energy without anion corrections = 30.013 kcal/mol of atoms
1.0
-2.388 -4.095 0.440
1.511 -0.398 4.494
-3.831 2.396 1.501
Sc Pt Mo Si
1 2 1 1
Direct
0.000 0.000 0.000 Sc
0.000 0.000 0.500 Pt
0.500 0.000 0.000 Pt
0.000 0.500 0.000 Mo
0.500 0.500 0.500 Si

(13)
ScTaBe2As | the Alexandria database | PBE | relaxed; formation enthalpy at 0 K = 6.248 eV per formula unit; SG = No. 123; crystal system = tetragonal
1.0
4.523 0.000 0.000
0.000 4.967 0.000
0.000 0.000 4.523
Sc As Ta Be
1 1 1 2
Direct
0.000 0.500 0.000 Sc
0.500 0.500 0.500 As
0.000 0.000 0.000 Ta
0.500 0.000 0.000 Be
0.000 0.000 0.500 Be